# 1
Below is Sb2TeAu at its PBEsol-relaxed geometry, with properties calculated at the SCAN level.

Cell: 3.2641 3.2641 9.7343 Å, 90.00 90.00 109.78°
With the nearest neighbours (Å) after each atom.
Atoms (fractional coordinates):
1 Au 0.5000 0.5000 0.2444  2 Sb 2.80, 2 Te 2.85
2 Te 0.0000 0.0000 0.4653  2 Au 2.85
3 Sb 0.0000 0.0000 0.0307  2 Au 2.80
4 Sb 0.5000 0.5000 0.7595  6 Sb 3.24-3.26, 2 Te 3.42

Summary:
Calculated total energy = -180.06 eV for the cell shown
N(E_F) = 0.51 states/eV per atom
Space-group type = Cmm2 (35)
Calculated volume = 98 Å³ per cell
Uncorrected formation energy = 217 meV/atom

***

# 2
Below is Re2NiHg at its PBEsol-relaxed geometry, with properties calculated at the SCAN level.

Cell: 3.0141 3.0141 6.5953 Å, 90.00 90.00 90.00°
With the nearest neighbours (Å) after each atom.
Atoms (fractional coordinates):
1 Ni 0.5000 0.5000 0.5000  8 Re 2.48
2 Re 0.0000 0.0000 0.3087  4 Ni 2.48, 1 Re 2.52
3 Hg 0.5000 0.5000 0.0000  8 Re 2.95, 4 Hg 3.01, 2 Ni 3.30
4 Re 0.0000 0.0000 0.6913  4 Ni 2.48, 1 Re 2.52

Summary:
Calculated total energy = -224.05 eV for the cell shown
N(E_F) = 0.85 states/eV per atom
Space-group type = P4/mmm (123)
Calculated volume = 60 Å³ per cell

***

# 3
Below is MnIn2Br at its PBEsol-relaxed geometry, with properties calculated at the SCAN level.

Cell: 3.3354 5.0351 5.5458 Å, 90.00 90.00 90.04°
With the nearest neighbours (Å) after each atom.
Atoms (fractional coordinates):
1 In 0.8684 0.2296 0.5000  4 Br 2.87-3.18, 2 In 2.95
2 Mn 0.3800 0.5439 0.0000  2 Br 2.87, 4 In 2.97-3.07
3 Br 0.3716 0.6945 0.5000  4 In 2.87-3.18, 2 Mn 2.87
4 In 0.8801 0.0321 0.0000  2 In 2.95, 4 Mn 2.97-3.07

Summary:
Calculated total energy = -104.87 eV for the cell shown
N(E_F) = 0.32 states/eV per atom
Space-group type = Pm (6)
Distance to the lowest polymorph of the same formula = 65.7 meV per atom
Calculated volume = 93 Å³ per cell
Uncorrected formation energy = -96 meV/atom

***

# 4
Below is Re2TeRuC at its PBEsol-relaxed geometry, with properties calculated at the SCAN level.

Cell: 3.9856 3.9856 4.6795 Å, 90.00 90.00 90.00°
With the nearest neighbours (Å) after each atom.
Atoms (fractional coordinates):
1 C 0.0000 0.0000 0.0000  4 Re 1.99
2 Te 0.0000 0.0000 0.5000  2 C 2.34
3 Re 0.0000 0.5000 0.0000  2 C 1.99
4 Re 0.5000 0.0000 0.0000  2 C 1.99
5 Ru 0.5000 0.5000 0.5000  4 Te 2.82, 8 Re 3.07

Summary:
Calculated total energy = -218.61 eV for the cell shown
N(E_F) = 0.81 states/eV per atom
Space-group type = P4/mmm (123)
Distance to the lowest polymorph of the same formula = 0.0 meV per atom
Calculated volume = 74 Å³ per cell
Uncorrected formation energy = 1152 meV/atom

***

- N(E_F) of number 4 (Re2TeRuC)?
  0.81 states/eV per atom